[1]
Below is a relaxed CuS3N crystal, with properties calculated at the GGA-PBE level.

Cell: 4.4282 4.4282 4.4282 Å, 90.00 90.00 90.00°
With the nearest neighbours (Å) after each atom.
Fractional positions:
N 0.5000 0.5000 0.5000  12 S 3.13
S 0.5000 0.0000 0.0000  2 Cu 2.21
S 0.0000 0.5000 0.0000  2 Cu 2.21
S 0.0000 0.0000 0.5000  2 Cu 2.21
Cu 0.0000 0.0000 0.0000  6 S 2.21

Summary:
SG = Pm-3m, No. 221
Energy relative to the elements, uncorrected = 1.91 eV per atom
Energy above the lowest structure with this stoichiometry = 669 meV/atom
D(E_F) = 1.5593 states/eV per atom


[2]
Below is a relaxed CuS3N crystal, with properties calculated at the GGA-PBE level.

Cell: 4.0946 4.0946 4.0946 Å, 90.00 90.00 90.00°
With the nearest neighbours (Å) after each atom.
Fractional positions:
N 0.0000 0.0000 0.0000  6 S 2.05
S 0.0000 0.5000 0.0000  2 N 2.05
S 0.0000 0.0000 0.5000  2 N 2.05
S 0.5000 0.0000 0.0000  2 N 2.05
Cu 0.5000 0.5000 0.5000  12 S 2.90

Summary:
SG = Pm-3m, No. 221
Energy relative to the elements, uncorrected = 1.24 eV per atom
Energy above the lowest structure with this stoichiometry = 0 meV/atom
D(E_F) = 0.6878 states/eV per atom


[3]
Below is a relaxed CuS2N crystal, with properties calculated at the GGA-PBE level.

Cell: 5.9581 5.9581 5.9581 Å, 35.91 35.91 35.91°
With the nearest neighbours (Å) after each atom.
Fractional positions:
Cu 0.5000 0.5000 0.5000  6 S 2.45
S 0.9066 0.9066 0.9066  1 N 1.56
S 0.0934 0.0934 0.0934  1 N 1.56
N 0.0000 0.0000 0.0000  2 S 1.56

Summary:
SG = R-3m, No. 166
Energy relative to the elements, uncorrected = 0.39 eV per atom
D(E_F) = 0.2987 states/eV per atom


[4]
Below is a relaxed CuSN2 crystal, with properties calculated at the GGA-PBE level.

Cell: 4.3793 4.3793 5.5120 Å, 66.59 66.59 90.00°
With the nearest neighbours (Å) after each atom.
Fractional positions:
S 0.5000 0.5000 0.0000  4 N 1.80
S 0.2500 0.7500 0.5000  4 N 1.80
N 0.8750 0.8236 0.7500  2 S 1.80
N 0.5736 0.1250 0.2500  2 S 1.80
N 0.1764 0.6250 0.2500  2 S 1.80
N 0.3750 0.4264 0.7500  2 S 1.80
Cu 0.0000 0.0000 0.0000  4 N 2.06
Cu 0.7500 0.2500 0.5000  4 N 2.06

Summary:
SG = I-42d, No. 122
Energy relative to the elements, uncorrected = 1.12 eV per atom
D(E_F) = 0.2789 states/eV per atom


| no. | energy (eV/atom) | volume (Å³/cell) |
| --- | --- | --- |
| 1 | -3.05 | 86.83 |
| 2 | -3.72 | 68.65 |
| 3 | -4.78 | 65.06 |
| 4 | -5.10 | 87.45 |